Entry i
An optimized crystal structure of K3MnO3. Source: Alexandria, functional PBE with a Hubbard U.

Calculated volume ... 18.91 A^3/atom

```
data_K3MnO3
_cell_length_a 6.632
_cell_length_b 6.632
_cell_length_c 6.616
_cell_angle_alpha 95.69
_cell_angle_beta 95.69
_cell_angle_gamma 112.42
_symmetry_space_group_name_H-M 'P 1'
_symmetry_Int_Tables_number 1
loop_
_symmetry_equiv_pos_as_xyz
'x,y,z'
loop_
_atom_site_label
_atom_site_type_symbol
_atom_site_fract_x
_atom_site_fract_y
_atom_site_fract_z
K1 K 0.185 0.815 0.000
K2 K 0.260 0.740 0.500
K3 K 0.369 0.369 0.142
K4 K 0.631 0.631 0.858
K5 K 0.740 0.260 0.500
K6 K 0.815 0.185 0.000
Mn1 Mn 0.183 0.183 0.636
Mn2 Mn 0.817 0.817 0.364
O1 O 0.096 0.096 0.334
O2 O 0.170 0.438 0.771
O3 O 0.438 0.170 0.771
O4 O 0.562 0.830 0.229
O5 O 0.830 0.562 0.229
O6 O 0.904 0.904 0.666
```



Entry ii
An optimized crystal structure of K3MnO3. Source: Alexandria, functional PBE with a Hubbard U.

Calculated volume ... 19.14 A^3/atom
Density of states at the Fermi level ... 0.00 states/eV per cell

```
data_K3MnO3
_cell_length_a 6.725
_cell_length_b 11.716
_cell_length_c 6.835
_cell_angle_alpha 90.00
_cell_angle_beta 95.58
_cell_angle_gamma 90.00
_symmetry_space_group_name_H-M 'P 1'
_symmetry_Int_Tables_number 1
loop_
_symmetry_equiv_pos_as_xyz
'x,y,z'
loop_
_atom_site_label
_atom_site_type_symbol
_atom_site_fract_x
_atom_site_fract_y
_atom_site_fract_z
K1 K 0.023 0.226 0.086
K2 K 0.023 0.274 0.586
K3 K 0.347 0.509 0.643
K4 K 0.347 0.991 0.143
K5 K 0.476 0.213 0.492
K6 K 0.476 0.287 0.992
K7 K 0.524 0.713 0.008
K8 K 0.524 0.787 0.508
K9 K 0.653 0.009 0.857
K10 K 0.653 0.491 0.357
K11 K 0.977 0.726 0.414
K12 K 0.977 0.774 0.914
Mn1 Mn 0.160 0.503 0.161
Mn2 Mn 0.160 0.997 0.661
Mn3 Mn 0.840 0.003 0.339
Mn4 Mn 0.840 0.497 0.839
O1 O 0.107 0.075 0.403
O2 O 0.107 0.425 0.903
O3 O 0.279 0.120 0.806
O4 O 0.279 0.380 0.306
O5 O 0.301 0.627 0.286
O6 O 0.301 0.873 0.786
O7 O 0.699 0.127 0.214
O8 O 0.699 0.373 0.714
O9 O 0.721 0.620 0.694
O10 O 0.721 0.880 0.194
O11 O 0.893 0.575 0.097
O12 O 0.893 0.925 0.597
```



It turns out entry ii is the most stable, with the second structure 4.4 kJ/mol of atoms higher.



Entry i
An optimized crystal structure of KMn3O. Source: Alexandria, functional PBE with a Hubbard U.

Calculated volume ... 21.09 A^3/atom
Density of states at the Fermi level ... 1.34 states/eV per cell

```
data_KMn3O
_cell_length_a 4.724
_cell_length_b 4.724
_cell_length_c 4.724
_cell_angle_alpha 90.00
_cell_angle_beta 90.00
_cell_angle_gamma 90.00
_symmetry_space_group_name_H-M 'P 1'
_symmetry_Int_Tables_number 1
loop_
_symmetry_equiv_pos_as_xyz
'x,y,z'
loop_
_atom_site_label
_atom_site_type_symbol
_atom_site_fract_x
_atom_site_fract_y
_atom_site_fract_z
K1 K 0.000 0.000 0.000
Mn1 Mn 0.000 0.500 0.500
Mn2 Mn 0.500 0.000 0.500
Mn3 Mn 0.500 0.500 0.000
O1 O 0.500 0.500 0.500
```



Entry ii
An optimized crystal structure of KMn3O. Source: Alexandria, functional PBE with a Hubbard U.

Calculated volume ... 55.22 A^3/atom
Density of states at the Fermi level ... 16.75 states/eV per cell

```
data_KMn3O
_cell_length_a 6.512
_cell_length_b 6.512
_cell_length_c 6.512
_cell_angle_alpha 90.00
_cell_angle_beta 90.00
_cell_angle_gamma 90.00
_symmetry_space_group_name_H-M 'P 1'
_symmetry_Int_Tables_number 1
loop_
_symmetry_equiv_pos_as_xyz
'x,y,z'
loop_
_atom_site_label
_atom_site_type_symbol
_atom_site_fract_x
_atom_site_fract_y
_atom_site_fract_z
K1 K 0.000 0.000 0.000
Mn1 Mn 0.000 0.000 0.500
Mn2 Mn 0.000 0.500 0.000
Mn3 Mn 0.500 0.000 0.000
O1 O 0.500 0.500 0.500
```



It turns out entry i is the most stable, with the second structure 158.9 kJ/mol of atoms higher.